! YPt2W (PBE-GGA, relaxed); values from VASP
&SYSTEM
  ibrav = 0, nat = 4, ntyp = 3
/
ATOMIC_SPECIES
Pt 195.08 Pt.upf
W 183.84 W.upf
Y 88.91 Y.upf
ATOMIC_POSITIONS crystal
Pt 0.5000 0.5000 0.0000
Pt 0.0000 0.0000 0.0000
W 0.5000 0.0000 0.5000
Y 0.0000 0.5000 0.5000
CELL_PARAMETERS angstrom
4.1971 0.0000 0.0000
0.0000 4.2002 0.0000
0.0000 0.0000 4.0522
! distance to the lowest polymorph of the same formula	153	meV per atom
! Fermi-level density of states	4.42	states/eV/f.u.
! E_form	-0.265	eV per atom